1.
Crystalline MoRu at its relaxed geometry, computed with GGA-PBE.

Results
Density, g/cm³: 11.00
Formation energy from the elements, eV per atom: 0.07

POSCAR file:
```
MoRu
1.0
-1.394 1.020 -2.176
0.769 -2.669 0.029
-3.846 -1.087 1.954
Mo Ru
1 1
Direct
0.667 0.333 0.000
0.000 0.000 0.500
```

***

2.
Crystalline Li16Zn6Ag7 at its relaxed geometry, computed with GGA-PBE.

Results
Density, g/cm³: 4.27
Formation energy from the elements, eV per atom: -0.07

POSCAR file:
```
Li16Zn6Ag7
1.0
7.663 0.000 4.424
2.554 7.225 4.424
0.000 0.000 8.849
Li Zn Ag
16 6 7
Direct
0.880 0.880 0.360
0.880 0.880 0.880
0.880 0.360 0.880
0.360 0.880 0.880
0.120 0.120 0.120
0.120 0.120 0.640
0.120 0.640 0.120
0.640 0.120 0.120
0.652 0.652 0.045
0.652 0.652 0.652
0.652 0.045 0.652
0.045 0.652 0.652
0.348 0.348 0.348
0.348 0.348 0.955
0.348 0.955 0.348
0.955 0.348 0.348
0.326 0.674 0.326
0.674 0.326 0.674
0.674 0.326 0.326
0.326 0.674 0.674
0.674 0.674 0.326
0.326 0.326 0.674
0.000 0.000 0.000
0.500 0.000 0.500
0.000 0.500 0.000
0.000 0.500 0.500
0.500 0.000 0.000
0.000 0.000 0.500
0.500 0.500 0.000
```

***

3.
Crystalline Ta2PtCl at its relaxed geometry, computed with GGA-PBE.

Results
Formation energy from raw total energies, meV per atom: 312.5
Distance to the lowest polymorph of the same formula, eV/atom: 0.599
Density, g/cm³: 13.61

POSCAR file:
```
Ta2PtCl
1.0
-2.626 1.415 0.200
-0.076 -0.905 5.408
2.106 3.813 0.668
Cl Pt Ta
1 1 2
Direct
0.500 0.000 0.500
0.000 0.500 0.500
0.000 0.000 0.000
0.500 0.500 0.000
```

***

4.
Crystalline Mn2Ge2Pb at its relaxed geometry, computed with GGA-PBE.

Results
Distance to the lowest polymorph of the same formula, eV/atom: 0.081
Density, g/cm³: 8.63
Formation energy from the elements, eV per atom: 0.23

POSCAR file:
```
Mn2Ge2Pb
1.0
3.780 0.000 0.000
0.000 3.780 0.000
1.890 1.890 6.225
Pb Ge Mn
1 2 2
Direct
0.000 0.000 0.000
0.750 0.250 0.500
0.250 0.750 0.500
0.392 0.392 0.215
0.608 0.608 0.785
```

***

5.
Crystalline La2PuO6 at its relaxed geometry, computed with GGA-PBE.

Results
Formation energy from raw total energies, meV per atom: -3109.0
Distance to the lowest polymorph of the same formula, eV/atom: 0.000
Density, g/cm³: 6.08

POSCAR file:
```
La2PuO6
1.0
5.904 0.000 0.000
0.000 5.916 0.618
0.000 4.913 10.171
La Pu O
4 2 12
Direct
0.499 0.785 0.215
0.999 0.215 0.285
0.001 0.785 0.715
0.501 0.215 0.785
0.500 0.500 0.000
0.000 0.500 0.500
0.802 0.495 0.659
0.801 0.813 0.341
0.666 0.213 0.000
0.166 0.787 0.500
0.301 0.187 0.159
0.302 0.505 0.841
0.198 0.505 0.341
0.199 0.187 0.659
0.334 0.787 0.000
0.834 0.213 0.500
0.699 0.813 0.841
0.698 0.495 0.159
```

***

6.
Crystalline HfTlS2 at its relaxed geometry, computed with GGA-PBE.

Results
Formation energy from raw total energies, meV per atom: -985.1
Density, g/cm³: 7.40

POSCAR file:
```
HfTlS2
1.0
19.099 0.000 2.222
2.222 4.735 -4.180
-2.222 4.735 4.180
Tl Hf S
8 8 16
Direct
0.086 0.187 0.193
0.414 0.693 0.687
0.914 0.813 0.807
0.586 0.307 0.313
0.414 0.190 0.686
0.086 0.186 0.690
0.586 0.810 0.314
0.914 0.814 0.310
0.331 0.504 0.125
0.169 0.625 0.004
0.669 0.496 0.875
0.831 0.375 0.996
0.311 0.019 0.109
0.189 0.609 0.519
0.689 0.981 0.891
0.811 0.391 0.481
0.077 0.694 0.668
0.423 0.168 0.194
0.923 0.306 0.332
0.577 0.832 0.806
0.749 0.200 0.173
0.751 0.673 0.700
0.251 0.800 0.827
0.249 0.327 0.300
0.423 0.703 0.193
0.077 0.693 0.203
0.577 0.297 0.807
0.923 0.307 0.797
0.750 0.199 0.699
0.250 0.801 0.301
0.750 0.672 0.172
0.250 0.328 0.828
```

***

7.
Crystalline La2YAl at its relaxed geometry, computed with GGA-PBE.

Results
Density, g/cm³: 5.03
Formation energy from the elements, eV per atom: 0.00

POSCAR file:
```
La2YAl
1.0
-1.263 -1.925 2.903
-0.493 -3.662 -0.278
9.679 -3.502 4.253
La Y Al
2 1 1
Direct
0.073 0.073 0.780
0.260 0.260 0.220
0.500 0.500 0.500
0.667 0.667 0.000
```

***

8.
Crystalline ZnIn2Ga2 at its relaxed geometry, computed with GGA-PBE.

Results
Distance to the lowest polymorph of the same formula, eV/atom: 0.085
Density, g/cm³: 6.15
Formation energy from the elements, eV per atom: 0.15

POSCAR file:
```
ZnIn2Ga2
1.0
-6.628 -4.029 1.101
4.125 -6.638 0.543
0.319 0.507 3.775
Zn Ga In
2 4 4
Direct
0.000 0.000 0.000
0.500 0.500 0.000
0.124 0.624 0.500
0.624 0.876 0.500
0.876 0.376 0.500
0.376 0.124 0.500
0.324 0.824 0.000
0.824 0.676 0.000
0.676 0.176 0.000
0.176 0.324 0.000
```

***

9.
Crystalline SbTe2Ru at its relaxed geometry, computed with GGA-PBE.

Results
Formation energy from raw total energies, meV per atom: 105.6
Density, g/cm³: 7.83

POSCAR file:
```
SbTe2Ru
1.0
-0.830 -7.110 5.337
0.294 -8.649 2.196
2.749 -7.197 4.512
Ru Sb Te
1 1 2
Direct
0.250 0.250 0.250
0.750 0.750 0.750
0.979 0.979 0.979
0.521 0.521 0.521
```

***

10.
Crystalline Rb2PuSn2Se4 at its relaxed geometry, computed with GGA-PBE.

Results
Formation energy from raw total energies, meV per atom: -916.6
Density, g/cm³: 5.30

POSCAR file:
```
Rb2PuSn2Se4
1.0
4.319 0.000 0.000
-2.160 9.005 -0.370
0.000 -3.526 7.950
Rb Pu Sn Se
2 1 2 4
Direct
0.879 0.758 0.438
0.121 0.242 0.562
0.000 0.000 0.000
0.313 0.627 0.957
0.687 0.373 0.043
0.820 0.640 0.760
0.180 0.360 0.240
0.472 0.943 0.211
0.528 0.057 0.789
```

***

11.
Crystalline SrAl3Au3 at its relaxed geometry, computed with GGA-PBE.

Results
Distance to the lowest polymorph of the same formula, eV/atom: 0.151
Density, g/cm³: 7.18
Formation energy from the elements, eV per atom: -0.37

POSCAR file:
```
SrAl3Au3
1.0
-5.077 -2.807 -4.017
2.779 -6.413 0.968
-4.036 -0.885 5.720
Sr Au Al
2 6 6
Direct
0.500 0.500 0.500
0.000 0.000 0.000
0.250 0.000 0.500
0.000 0.500 0.250
0.500 0.750 0.000
0.750 0.000 0.500
0.000 0.500 0.750
0.500 0.250 0.000
0.000 0.250 0.500
0.000 0.750 0.500
0.500 0.000 0.750
0.750 0.500 0.000
0.500 0.000 0.250
0.250 0.500 0.000
```

***

12.
Crystalline CsGaAsH at its relaxed geometry, computed with GGA-PBE.

Results
Density, g/cm³: 4.56

POSCAR file:
```
CsGaAsH
1.0
-2.610 -3.274 -0.070
3.604 -0.150 -2.128
3.056 -2.551 5.356
Cs Ga As H
1 1 1 1
Direct
0.572 0.144 0.375
0.239 0.477 0.913
0.905 0.810 0.792
0.239 0.477 0.159
```

***

Number 1: E_tot -9.99 eV/atom. Number 2: E_tot -2.07 eV/atom. Number 3: E_tot -7.59 eV/atom. Number 4: E_tot -6.03 eV/atom. Number 5: E_tot -9.10 eV/atom. Number 6: E_tot -6.13 eV/atom. Number 7: E_tot -5.02 eV/atom. Number 8: E_tot -2.41 eV/atom. Number 9: E_tot -4.81 eV/atom. Number 10: E_tot -5.16 eV/atom. Number 11: E_tot -3.62 eV/atom. Number 12: E_tot -3.34 eV/atom.